1.
Here is Li2HOsPd after structural relaxation from the Alexandria database. Energies are from PBE.

Output
Electronic total energy = -4.62 eV/atom
N(E_F) = 3.71 states/eV/cell
Calculated volume = 55.6 Å³/cell

Cell: 3.8418 3.8418 3.7636 Å, 90.00 90.00 90.00°
Fractional coordinates of all 5 atoms:
1 H 0.0000 0.0000 0.0000
2 Li 0.5000 0.0000 0.0000
3 Li 0.0000 0.5000 0.0000
4 Pd 0.5000 0.5000 0.5000
5 Os 0.0000 0.0000 0.5000

=====

2.
Here is LiPr2H6Os after structural relaxation from the Alexandria database. Energies are from PBE.

Output
Electronic total energy = -4.62 eV/atom
N(E_F) = 3.72 states/eV/cell
Calculated volume = 117.2 Å³/cell

Cell: 5.2494 5.0782 5.0782 Å, 120.00 90.00 90.00°
Fractional coordinates of all 10 atoms:
1 Pr 0.2353 0.3333 0.6667
2 Pr 0.7647 0.6667 0.3333
3 H 0.2120 0.8425 0.6849
4 H 0.2120 0.8425 0.1575
5 H 0.7880 0.1575 0.8425
6 H 0.7880 0.1575 0.3151
7 H 0.7880 0.6849 0.8425
8 H 0.2120 0.3151 0.1575
9 Li 0.5000 0.0000 0.0000
10 Os 0.0000 0.0000 0.0000

=====

3.
Here is LiPu2H6Os after structural relaxation from the Alexandria database. Energies are from PBE.

Output
Electronic total energy = -6.42 eV/atom
N(E_F) = 18.38 states/eV/cell
Calculated volume = 108.3 Å³/cell

Cell: 4.9286 5.0364 5.0364 Å, 120.00 90.00 90.00°
Each line ends with the local moment (μB).
Fractional coordinates of all 10 atoms:
1 H 0.2115 0.3272 0.1636  -0.01
2 H 0.2115 0.8364 0.6728  -0.01
3 H 0.7885 0.1636 0.3272  -0.01
4 H 0.7885 0.1636 0.8364  -0.01
5 H 0.7885 0.6728 0.8364  -0.01
6 H 0.2115 0.8364 0.1636  -0.01
7 Li 0.5000 0.0000 0.0000  0.07
8 Os 0.0000 0.0000 0.0000  0.25
9 Pu 0.7496 0.6667 0.3333  5.76
10 Pu 0.2504 0.3333 0.6667  5.76

=====

- Which of these has the lowest calculated volume?
  Li2HOsPd

=====

- The highest N(E_F) belongs to which entry?
  LiPu2H6Os

=====

Copy entry 1 word for word.
Here is Li2HOsPd after structural relaxation from the Alexandria database. Energies are from PBE.

Output
Electronic total energy = -4.62 eV/atom
N(E_F) = 3.71 states/eV/cell
Calculated volume = 55.6 Å³/cell

Cell: 3.8418 3.8418 3.7636 Å, 90.00 90.00 90.00°
Fractional coordinates of all 5 atoms:
1 H 0.0000 0.0000 0.0000
2 Li 0.5000 0.0000 0.0000
3 Li 0.0000 0.5000 0.0000
4 Pd 0.5000 0.5000 0.5000
5 Os 0.0000 0.0000 0.5000